Here is a relaxed KNi2Ag2 crystal from Alexandria via LeMat-Bulk. Energies are from PBE.

Symmetry: P4/mbm
Formation energy from the elements: 0.3654 eV per atom
Theoretical density: 6.87 g/cm³
ΔE to the lowest computed polymorph: 0.0 meV per atom

a = 8.034 Å, b = 8.034 Å, c = 2.789 Å
α = 90.00°, β = 90.00°, γ = 90.00°
Sites, in units of the cell vectors:
K 0.000 0.000 0.000
K 0.500 0.500 0.000
Ni 0.106 0.394 0.000
Ni 0.394 0.894 0.000
Ni 0.606 0.106 0.000
Ni 0.894 0.606 0.000
Ag 0.181 0.681 0.500
Ag 0.319 0.181 0.500
Ag 0.681 0.819 0.500
Ag 0.819 0.319 0.500